Record 1
{
  "formula": "Tb2PrSm2Er",
  "functional": "PBE",
  "state": "relaxed",
  "dos_at_fermi_per_ev_cell": 17.48,
  "delta_e_f_ev_per_atom": 0.150,
  "magnetic_moment_mub_per_fu": 0.0,
  "cell": [[6.9623, 0.0000, 0.0000], [0.0000, 16.4540, 0.0000], [0.0000, 0.0000, 3.5165]],
  "species": ["Tb", "Tb", "Tb", "Tb", "Pr", "Pr", "Sm", "Sm", "Sm", "Sm", "Er", "Er"],
  "fractional_positions": [[0.2500, 0.1553, 0.0000], [0.2500, 0.6553, 0.5000], [0.7500, 0.3447, 0.5000], [0.7500, 0.8447, 0.0000], [0.0000, 0.0000, 0.5000], [0.5000, 0.5000, 0.0000], [0.2483, 0.3413, 0.5000], [0.2517, 0.8413, 0.0000], [0.7483, 0.1587, 0.0000], [0.7517, 0.6587, 0.5000], [0.0000, 0.5000, 0.0000], [0.5000, 0.0000, 0.5000]]
}

***

Record 2
{
  "formula": "BaZn2N",
  "functional": "PBE",
  "state": "relaxed",
  "dos_at_fermi_per_ev_cell": 7.20,
  "magnetic_moment_mub_per_fu": 0.0,
  "e_form_raw_mev_per_atom": 237,
  "cell": [[-3.2293, 3.2293, 4.6054], [3.2293, -3.2293, 4.6054], [3.2293, 3.2293, -4.6054]],
  "species": ["Ba", "Ba", "Zn", "Zn", "Zn", "Zn", "N", "N"],
  "fractional_positions": [[0.0000, 0.0000, 0.0000], [0.7500, 0.2500, 0.5000], [0.3738, 0.6250, 0.2488], [0.3750, 0.6238, 0.7488], [0.3762, 0.1250, 0.7512], [0.8750, 0.6262, 0.2512], [0.2500, 0.7500, 0.5000], [0.5000, 0.5000, 0.0000]]
}

***

Record 3
{
  "formula": "Li6GePb5",
  "functional": "PBE",
  "state": "relaxed",
  "dos_at_fermi_per_ev_cell": 4.70,
  "delta_e_f_ev_per_atom": -0.237,
  "magnetic_moment_mub_per_fu": 0.0,
  "cell": [[4.3620, -7.3088, 0.0000], [4.3620, 7.3088, 0.0000], [-2.6572, 0.0000, 4.0747]],
  "species": ["Li", "Li", "Li", "Li", "Li", "Li", "Ge", "Pb", "Pb", "Pb", "Pb", "Pb"],
  "fractional_positions": [[0.0785, 0.3945, 0.7349], [0.2276, 0.2276, 0.2292], [0.3945, 0.0785, 0.7349], [0.6055, 0.9215, 0.2651], [0.7724, 0.7724, 0.7708], [0.9215, 0.6055, 0.2651], [0.0000, 0.0000, 0.5000], [0.1678, 0.8322, 0.0000], [0.3349, 0.6651, 0.5000], [0.5000, 0.5000, 0.0000], [0.6651, 0.3349, 0.5000], [0.8322, 0.1678, 0.0000]]
}

***

Record 4
{
  "formula": "CsBe3Cu",
  "functional": "PBE",
  "state": "relaxed",
  "dos_at_fermi_per_ev_cell": 0.00,
  "delta_e_f_ev_per_atom": 0.888,
  "magnetic_moment_mub_per_fu": 0.0,
  "cell": [[4.5355, 0.0000, 0.0000], [0.0000, 4.5355, 0.0000], [0.0000, 0.0000, 4.5355]],
  "species": ["Cs", "Be", "Be", "Be", "Cu"],
  "fractional_positions": [[0.0000, 0.0000, 0.0000], [0.0000, 0.5000, 0.5000], [0.5000, 0.0000, 0.5000], [0.5000, 0.5000, 0.0000], [0.5000, 0.5000, 0.5000]]
}

***

Record 5
{
  "formula": "P2OsSe",
  "functional": "PBE",
  "state": "relaxed",
  "dos_at_fermi_per_ev_cell": 2.31,
  "magnetic_moment_mub_per_fu": 0.0,
  "e_form_raw_mev_per_atom": 208,
  "cell": [[-1.4755, 2.1310, 5.2741], [1.4755, -2.1310, 5.2741], [1.4755, 2.1310, -5.2741]],
  "species": ["P", "P", "Os", "Se"],
  "fractional_positions": [[0.0000, 0.0000, 0.0000], [0.5958, 0.0958, 0.5000], [0.7710, 0.7710, 0.0000], [0.3207, 0.3207, 0.0000]]
}

***

Record 6
{
  "formula": "RbSrSe2",
  "functional": "PBE",
  "state": "relaxed",
  "dos_at_fermi_per_ev_cell": 4.38,
  "magnetic_moment_mub_per_fu": 1.0,
  "e_form_raw_mev_per_atom": -1063,
  "cell": [[-3.4522, 3.4522, 8.2885], [3.4522, -3.4522, 8.2885], [3.4522, 3.4522, -8.2885]],
  "species": ["Rb", "Rb", "Sr", "Sr", "Se", "Se", "Se", "Se"],
  "fractional_positions": [[0.0000, 0.0000, 0.0000], [0.7500, 0.2500, 0.5000], [0.2500, 0.7500, 0.5000], [0.5000, 0.5000, 0.0000], [0.1903, 0.6250, 0.0653], [0.3750, 0.4403, 0.5653], [0.5597, 0.1250, 0.9347], [0.8750, 0.8097, 0.4347]]
}

***

Record 7
{
  "formula": "Tb3SeS2",
  "functional": "PBE",
  "state": "relaxed",
  "dos_at_fermi_per_ev_cell": 2.51,
  "magnetic_moment_mub_per_fu": 0.0,
  "e_form_raw_mev_per_atom": -1921,
  "cell": [[-1.9944, 2.8148, 5.9759], [1.9944, -2.8148, 5.9759], [1.9944, 2.8148, -5.9759]],
  "species": ["Tb", "Tb", "Tb", "Se", "S", "S"],
  "fractional_positions": [[0.0000, 0.0000, 0.0000], [0.3222, 0.3222, 0.0000], [0.6778, 0.6778, 0.0000], [0.5000, 0.0000, 0.5000], [0.1633, 0.6633, 0.5000], [0.8367, 0.3367, 0.5000]]
}

***

Record 8
{
  "formula": "HfGa3",
  "functional": "PBE",
  "state": "relaxed",
  "dos_at_fermi_per_ev_cell": 1.37,
  "delta_e_f_ev_per_atom": -0.291,
  "magnetic_moment_mub_per_fu": 0.0,
  "cell": [[-1.5547, 4.7315, 2.4544], [1.5547, -4.7315, 2.4544], [1.5547, 4.7315, -2.4544]],
  "species": ["Hf", "Ga", "Ga", "Ga"],
  "fractional_positions": [[0.0000, 0.0000, 0.0000], [0.0730, 0.3247, 0.7483], [0.4839, 0.9839, 0.5000], [0.5764, 0.3247, 0.2517]]
}